Below is a relaxed HgTePbBr2 crystal, with properties calculated at the PBE level.

a b c (Å): 5.3176 6.4394 5.3176
angles (deg): 90.00 90.00 90.00
Closest atoms and distances in Å follow each position.
Element x y z (fractional)
1 Br 0.0000 0.0000 0.5000  2 Hg 2.66
2 Pb 0.0000 0.5000 0.0000  2 Hg 3.22
3 Te 0.5000 0.5000 0.5000  4 Pb 3.76, 8 Br 4.18
4 Br 0.5000 0.0000 0.0000  2 Hg 2.66
5 Hg 0.0000 0.0000 0.0000  4 Br 2.66

Values from the calculation:
Its raw total energy is -1.99 eV per atom.

Below is a relaxed Y6HgS5 crystal, with properties calculated at the PBE level.

a b c (Å): 6.9084 6.9084 6.8933
angles (deg): 99.58 99.58 119.88
Closest atoms and distances in Å follow each position.
Element x y z (fractional)
1 S 0.5000 0.5000 0.5000  6 Y 2.73-2.83
2 Y 0.4312 0.0855 0.2563  5 S 2.75-2.83, 1 Hg 2.91
3 S 0.8357 0.1643 0.5000  6 Y 2.75-2.83
4 S 0.1643 0.8357 0.5000  6 Y 2.75-2.83
5 S 0.3335 0.6665 0.0000  6 Y 2.80-2.81
6 Y 0.0855 0.4312 0.2563  5 S 2.75-2.83, 1 Hg 2.91
7 Y 0.5688 0.9145 0.7437  5 S 2.75-2.83, 1 Hg 2.91
8 Y 0.7395 0.7395 0.2551  5 S 2.73-2.82, 1 Hg 2.91
9 Y 0.9145 0.5688 0.7437  5 S 2.75-2.83, 1 Hg 2.91
10 Hg 0.0000 0.0000 0.0000  6 Y 2.91
11 S 0.6665 0.3335 0.0000  6 Y 2.80-2.81
12 Y 0.2605 0.2605 0.7449  5 S 2.73-2.82, 1 Hg 2.91

Values from the calculation:
Its raw total energy is -6.70 eV per atom.

Below is a relaxed Fe2PW crystal, with properties calculated at the PBE level.

a b c (Å): 4.1278 4.1278 4.1278
angles (deg): 60.00 60.00 60.00
Closest atoms and distances in Å follow each position.
Element x y z (fractional)
1 P 0.5000 0.5000 0.5000  4 Fe 2.53, 4 W 2.53
2 Fe 0.7500 0.7500 0.7500  4 Fe 2.53, 4 P 2.53
3 Fe 0.0000 0.0000 0.0000  4 Fe 2.53, 4 W 2.53
4 W 0.2500 0.2500 0.2500  4 Fe 2.53, 4 P 2.53

Values from the calculation:
The formation energy comes out at 49 meV per atom.

Below is a relaxed Tl2PdS2 crystal, with properties calculated at the PBE level.

a b c (Å): 6.5722 6.5722 5.3743
angles (deg): 90.00 90.00 90.00
Closest atoms and distances in Å follow each position.
Element x y z (fractional)
1 S 0.8370 0.6630 0.0000  2 Pd 2.46
2 Pd 0.5000 0.5000 0.0000  4 S 2.46
3 S 0.1630 0.3370 0.0000  2 Pd 2.46
4 Tl 0.6737 0.8263 0.5000  2 S 3.09, 5 Tl 3.23-3.44
5 Tl 0.1737 0.6737 0.5000  2 S 3.09, 5 Tl 3.23-3.44
6 S 0.6630 0.1630 0.0000  2 Pd 2.46
7 Tl 0.8263 0.3263 0.5000  2 S 3.09, 5 Tl 3.23-3.44
8 Pd 0.0000 0.0000 0.0000  4 S 2.46
9 Tl 0.3263 0.1737 0.5000  2 S 3.09, 5 Tl 3.23-3.44
10 S 0.3370 0.8370 0.0000  2 Pd 2.46

Values from the calculation:
Its raw total energy is -3.72 eV per atom.

Below is a relaxed Al3PbCl crystal, with properties calculated at the PBE level.

a b c (Å): 5.6399 5.6399 5.6399
angles (deg): 90.00 90.00 90.00
Closest atoms and distances in Å follow each position.
Element x y z (fractional)
1 Al 0.0000 0.0000 0.5000  2 Pb 2.82
2 Cl 0.5000 0.5000 0.5000  12 Al 3.99
3 Al 0.5000 0.0000 0.0000  2 Pb 2.82
4 Pb 0.0000 0.0000 0.0000  6 Al 2.82
5 Al 0.0000 0.5000 0.0000  2 Pb 2.82

Values from the calculation:
As for the excess energy over the best structure of this formula in the dataset: 0.204 eV/atom.

Below is a relaxed PuMgIn2O8 crystal, with properties calculated at the PBE level.

a b c (Å): 4.9799 4.9685 6.5215
angles (deg): 90.00 90.00 91.96
Closest atoms and distances in Å follow each position.
Element x y z (fractional)
1 O 0.6984 0.7007 0.0000  1 Pu 2.08, 2 In 2.18
2 O 0.8203 0.1819 0.7732  1 Pu 1.96
3 O 0.8203 0.1819 0.2268  1 Pu 1.96
4 In 0.5000 0.5000 0.2587  6 O 2.12-2.29
5 O 0.1797 0.8181 0.7732  1 Pu 1.96
6 O 0.1797 0.8181 0.2268  1 Pu 1.96
7 O 0.7047 0.7067 0.5000  1 Mg 2.03, 2 In 2.12
8 In 0.5000 0.5000 0.7413  6 O 2.12-2.29
9 O 0.3016 0.2993 0.0000  1 Pu 2.08, 2 In 2.18
10 O 0.2953 0.2933 0.5000  1 Mg 2.03, 2 In 2.12
11 Mg 0.0000 0.0000 0.5000  6 O 2.03-2.20
12 Pu 0.0000 0.0000 0.0000  6 O 1.96-2.08

Values from the calculation:
Its raw total energy is -6.93 eV per atom.

Below is a relaxed Te3MoH crystal, with properties calculated at the PBE level.

a b c (Å): 4.6993 4.6993 4.6993
angles (deg): 90.00 90.00 90.00
Closest atoms and distances in Å follow each position.
Element x y z (fractional)
1 Mo 0.5000 0.5000 0.5000  12 Te 3.32
2 H 0.0000 0.0000 0.0000  6 Te 2.35
3 Te 0.0000 0.0000 0.5000  2 H 2.35
4 Te 0.5000 0.0000 0.0000  2 H 2.35
5 Te 0.0000 0.5000 0.0000  2 H 2.35

Values from the calculation:
Its raw total energy is -3.70 eV per atom.

Below is a relaxed Cs2MgIn2 crystal, with properties calculated at the PBE level.

a b c (Å): 8.1206 8.1206 6.5635
angles (deg): 90.00 90.00 90.00
Closest atoms and distances in Å follow each position.
Element x y z (fractional)
1 Cs 0.6824 0.8176 0.5000  6 In 3.93-4.17, 5 Cs 4.19-4.21
2 In 0.3708 0.8708 0.0000  1 In 2.97, 2 Mg 3.19
3 In 0.8708 0.6292 0.0000  1 In 2.97, 2 Mg 3.19
4 Cs 0.8176 0.3176 0.5000  6 In 3.93-4.17, 5 Cs 4.19-4.21
5 Mg 0.0000 0.0000 0.0000  4 In 3.19
6 Mg 0.5000 0.5000 0.0000  4 In 3.19
7 Cs 0.3176 0.1824 0.5000  6 In 3.93-4.17, 5 Cs 4.19-4.21
8 Cs 0.1824 0.6824 0.5000  6 In 3.93-4.17, 5 Cs 4.19-4.21
9 In 0.1292 0.3708 0.0000  1 In 2.97, 2 Mg 3.19
10 In 0.6292 0.1292 0.0000  1 In 2.97, 2 Mg 3.19

Values from the calculation:
The formation energy comes out at 84 meV per atom. As for the excess energy over the best structure of this formula in the dataset: 0.000 eV/atom.